(1)
Here is an optimized crystal structure of CeHoNi from the Alexandria database. Energies are from PBE.

a b c (Å): 6.572 6.572 6.572
angles (deg): 150.02 150.02 42.92
Sites, in units of the cell vectors:
Ce 0.000 0.000 0.000
Ho 0.269 0.269 0.000
Ni 0.637 0.637 0.000

## Properties
As for the formation energy: -16 kJ per mole of atoms. The space group is I4mm. The calculation puts the total energy at -16.79 eV per cell. As for the density of states at the Fermi level: 5.698 states/eV/f.u.

=====

(2)
Here is an optimized crystal structure of BeFeSn2Hg from the Alexandria database. Energies are from PBE.

a b c (Å): 4.799 4.799 4.449
angles (deg): 90.00 90.00 90.00
Sites, in units of the cell vectors:
Be 0.000 0.000 0.000
Fe 0.500 0.500 0.500
Sn 0.000 0.500 0.000
Sn 0.500 0.000 0.000
Hg 0.000 0.000 0.500

## Properties
As for the formation energy: 78 kJ per mole of atoms. The space group is P4/mmm. The calculation puts the total energy at -16.46 eV per cell. As for the density of states at the Fermi level: 7.788 states/eV/f.u.

=====

(3)
Here is an optimized crystal structure of Tl5InPb2 from the Alexandria database. Energies are from PBE.

a b c (Å): 6.873 13.874 5.096
angles (deg): 90.00 90.00 90.00
Sites, in units of the cell vectors:
Tl 0.000 0.000 0.000
Tl 0.020 0.252 0.000
Tl 0.229 0.869 0.500
Tl 0.271 0.369 0.500
Tl 0.480 0.752 0.000
Tl 0.500 0.500 0.000
Tl 0.520 0.248 0.000
Tl 0.729 0.631 0.500
Tl 0.771 0.131 0.500
Tl 0.980 0.748 0.000
In 0.000 0.500 0.000
In 0.500 0.000 0.000
Pb 0.227 0.616 0.500
Pb 0.273 0.116 0.500
Pb 0.727 0.884 0.500
Pb 0.773 0.384 0.500

## Properties
As for the formation energy: 1 kJ per mole of atoms. The space group is Pbam. The calculation puts the total energy at -43.83 eV per cell. As for the density of states at the Fermi level: 2.462 states/eV/f.u.